# 1
DFT (PBE) results for an optimized crystal structure of Tb9PrHo2.

It has space group P4/mmm (No. 123), with a = 5.044 Å, b = 5.044 Å, c = 15.137 Å, α = 90.00°, β = 90.00° and γ = 90.00°. Symmetry generates all atoms from Tb at (0.000, 0.000, 0.000), Tb at (0.000, 0.000, 0.335), Tb at (0.000, 0.500, 0.169), Tb at (0.000, 0.500, 0.500), Pr at (0.500, 0.500, 0.000) and Ho at (0.500, 0.500, 0.335).

As for the formation energy: 0.0209 eV per atom. The volume comes out at 385 Å³/cell. The calculation puts the magnetic moment at 0.00 μB per atom. The calculation puts the total energy at -4.61 eV per atom. The value obtained for the energy above the most stable polymorph in this dataset is 0 meV per atom.

=====

# 2
DFT (PBE) results for an optimized crystal structure of Ta2SbRu.

It has space group P4mm (No. 99), with a = 3.357 Å, b = 3.357 Å, c = 6.426 Å, α = 90.00°, β = 90.00° and γ = 90.00°. Symmetry generates all atoms from Ta at (0.000, 0.000, 0.000), Ta at (0.500, 0.500, 0.271), Sb at (0.500, 0.500, 0.760) and Ru at (0.000, 0.000, 0.477).

For the uncorrected formation energy, the calculation gives -0.008 eV/atom. The volume comes out at 72 Å³/cell. The calculation puts the magnetic moment at 0.00 μB per atom. The calculation puts the total energy at -9.28 eV per atom.

=====

# 3
DFT (PBE) results for an optimized crystal structure of Tb3YPd.

It has space group C2/m (No. 12), with a = 11.838 Å, b = 8.653 Å, c = 8.115 Å, α = 90.00°, β = 132.75° and γ = 90.00°. Symmetry generates all atoms from Tb at (0.052, 0.000, 0.335), Tb at (0.246, 0.304, 0.781), Y at (0.057, 0.500, 0.271) and Pd at (0.249, 0.500, 0.123).

As for the formation energy: -0.2546 eV per atom. The volume comes out at 610 Å³/cell. The calculation puts the magnetic moment at 0.00 μB per atom. The calculation puts the total energy at -5.36 eV per atom. The value obtained for the energy above the most stable polymorph in this dataset is 9 meV per atom.

=====

# 4
DFT (PBE) results for an optimized crystal structure of Tb2NdDy2Y2.

It has space group R-3m (No. 166, hexagonal axes), with a = 5.6925 Å, b = 5.6925 Å, c = 24.5365 Å, α = 90.00°, β = 90.00° and γ = 120.00°. Symmetry generates all atoms from Tb at (0.0000, 0.0000, 0.2210), Nd at (0.0000, 0.0000, 0.5000), Dy at (0.0000, 0.0000, 0.0741) and Y at (0.0000, 0.0000, 0.3596).

As for the formation energy: 0.1374 eV per atom. The volume comes out at 689 Å³/cell. The calculation puts the magnetic moment at 0.13 μB per atom. The calculation puts the total energy at -5.03 eV per atom.

=====

# 5
DFT (PBE) results for an optimized crystal structure of ErZnIrRh.

It has space group F-43m (No. 216), with a = 6.438 Å, b = 6.438 Å, c = 6.438 Å, α = 90.00°, β = 90.00° and γ = 90.00°. Symmetry generates all atoms from Er at (0.000, 0.000, 0.000), Zn at (0.000, 0.000, 0.500), Ir at (0.250, 0.250, 0.750) and Rh at (0.250, 0.250, 0.250).

As for the formation energy: -0.5737 eV per atom. The volume comes out at 267 Å³/cell. The calculation puts the magnetic moment at 0.00 μB per atom. The calculation puts the total energy at -6.09 eV per atom. The value obtained for the energy above the most stable polymorph in this dataset is 43 meV per atom.

=====

# 6
DFT (PBE) results for an optimized crystal structure of FeMo3Rh6.

It has space group P2_1/m (No. 11), with a = 7.273 Å, b = 4.376 Å, c = 9.493 Å, α = 90.00°, β = 108.61° and γ = 90.00°. Symmetry generates all atoms from Fe at (0.095, 0.250, 0.063), Mo at (0.097, 0.750, 0.737), Mo at (0.296, 0.750, 0.530), Mo at (0.306, 0.250, 0.872), Rh at (0.095, 0.750, 0.226), Rh at (0.102, 0.250, 0.569), Rh at (0.292, 0.750, 0.033), Rh at (0.297, 0.250, 0.363), Rh at (0.498, 0.250, 0.665) and Rh at (0.500, 0.250, 0.169).

As for the formation energy: -0.1827 eV per atom. The volume comes out at 286 Å³/cell. The calculation puts the magnetic moment at 0.19 μB per atom. The calculation puts the total energy at -8.69 eV per atom.

=====

# 7
DFT (PBE) results for an optimized crystal structure of NpH2Br3.

It has space group P6_3/mmc (No. 194), with a = 7.9134 Å, b = 7.9134 Å, c = 7.6080 Å, α = 90.00°, β = 90.00° and γ = 120.00°. Symmetry generates all atoms from Np at (0.0000, 0.0000, 0.0000), H at (0.3333, 0.6667, 0.0472) and Br at (0.1597, 0.3194, 0.7500).

The volume comes out at 413 Å³/cell. The calculation puts the magnetic moment at 1.00 μB per atom. The calculation puts the total energy at -4.23 eV per atom.

=====

# 8
DFT (PBE) results for an optimized crystal structure of Nd14SmSn.

It has space group P4/mmm (No. 123), with a = 7.279 Å, b = 7.279 Å, c = 10.258 Å, α = 90.00°, β = 90.00° and γ = 90.00°. Symmetry generates all atoms from Nd at (0.000, 0.000, 0.000), Nd at (0.000, 0.500, 0.000), Nd at (0.000, 0.500, 0.500), Nd at (0.245, 0.245, 0.257), Nd at (0.500, 0.500, 0.000), Sm at (0.500, 0.500, 0.500) and Sn at (0.000, 0.000, 0.500).

As for the formation energy: -0.0719 eV per atom. The volume comes out at 543 Å³/cell. The calculation puts the magnetic moment at 0.00 μB per atom. The calculation puts the total energy at -4.79 eV per atom.

=====

# 9
DFT (PBE) results for an optimized crystal structure of ZrIrPd.

It has space group P3m1 (No. 156), with a = 4.4777 Å, b = 4.4777 Å, c = 3.0261 Å, α = 90.00°, β = 90.00° and γ = 120.00°. Symmetry generates all atoms from Zr at (0.0000, 0.0000, 0.0000), Ir at (0.6667, 0.3333, 0.4984) and Pd at (0.3333, 0.6667, 0.5005).

As for the formation energy: -0.4030 eV per atom. The volume comes out at 53 Å³/cell. The calculation puts the magnetic moment at 0.00 μB per atom. The calculation puts the total energy at -7.94 eV per atom. The value obtained for the energy above the most stable polymorph in this dataset is 318 meV per atom.

=====

# 10
DFT (PBE) results for an optimized crystal structure of LiTaBe2.

It has space group P4mm (No. 99), with a = 2.698 Å, b = 2.698 Å, c = 6.933 Å, α = 90.00°, β = 90.00° and γ = 90.00°. Symmetry generates all atoms from Li at (0.000, 0.000, 0.000), Ta at (0.500, 0.500, 0.343), Be at (0.000, 0.000, 0.599) and Be at (0.500, 0.500, 0.751).

As for the formation energy: 0.1883 eV per atom. The volume comes out at 50 Å³/cell. The calculation puts the magnetic moment at 0.00 μB per atom. The calculation puts the total energy at -5.12 eV per atom. The value obtained for the energy above the most stable polymorph in this dataset is 56 meV per atom.

=====

# 11
DFT (PBE) results for an optimized crystal structure of Rb2PbWBr6.

It has space group I4/mmm (No. 139), with a = 8.066 Å, b = 8.066 Å, c = 11.447 Å, α = 90.00°, β = 90.00° and γ = 90.00°. Symmetry generates all atoms from Rb at (0.000, 0.500, 0.250), Pb at (0.000, 0.000, 0.000), W at (0.000, 0.000, 0.500), Br at (0.000, 0.000, 0.268) and Br at (0.232, 0.232, 0.500).

For the uncorrected formation energy, the calculation gives -0.810 eV/atom. The volume comes out at 745 Å³/cell. The calculation puts the magnetic moment at 0.40 μB per atom. The calculation puts the total energy at -3.67 eV per atom.